TiNiSbRu | PBE | relaxed

total magnetic moment = 0.02 μB/atom
uncorrected energy = -7.10 eV per atom

a b c (Å): 6.2457 6.2457 6.2457
angles (deg): 90.00 90.00 90.00
Closest atoms and distances in Å follow each position.
Space group F-43m (No. 216)
Asymmetric unit:
Ti 0.0000 0.0000 0.0000 (multiplicity 4)  4 Ni 2.70, 4 Ru 2.70
Ni 0.2500 0.2500 0.7500 (multiplicity 4)  4 Sb 2.70, 4 Ti 2.70
Sb 0.0000 0.0000 0.5000 (multiplicity 4)  4 Ru 2.70, 4 Ni 2.70
Ru 0.2500 0.2500 0.2500 (multiplicity 4)  4 Sb 2.70, 4 Ti 2.70